DFT (PBE-GGA) results for an optimized crystal structure of Cs2PbSe2.

Properties
Formation energy without anion corrections: -0.31 eV/atom
Density: 5.490 g/cm³
Calculated volume: 381.7 Å³/cell
Relative energy among the computed polymorphs: 617.4 meV/atom

a = 10.4878 Å, b = 10.4878 Å, c = 3.4702 Å
α = 90.00°, β = 90.00°, γ = 90.00°
Last column: nearest neighbours and their distance in Å.
Fractional positions:
Cs1 0.1248 0.3752 0.0000  6 Se 3.45-3.62, 3 Cs 3.47-3.70
Cs2 0.3752 0.8752 0.0000  6 Se 3.45-3.62, 3 Cs 3.47-3.70
Cs3 0.6248 0.1248 0.0000  6 Se 3.45-3.62, 3 Cs 3.47-3.70
Cs4 0.8752 0.6248 0.0000  6 Se 3.45-3.62, 3 Cs 3.47-3.70
Pb1 0.0000 0.0000 0.0000  2 Pb 3.47
Pb2 0.5000 0.5000 0.0000  2 Pb 3.47
Se1 0.1745 0.6745 0.5000  6 Cs 3.45-3.62, 2 Se 3.47
Se2 0.3255 0.1745 0.5000  6 Cs 3.45-3.62, 2 Se 3.47
Se3 0.6745 0.8255 0.5000  6 Cs 3.45-3.62, 2 Se 3.47
Se4 0.8255 0.3255 0.5000  6 Cs 3.45-3.62, 2 Se 3.47



DFT (PBE-GGA) results for an optimized crystal structure of CsPb2Se2.

Properties
Formation energy without anion corrections: -0.61 eV/atom
Density: 6.509 g/cm³
Calculated volume: 179.9 Å³/cell
Relative energy among the computed polymorphs: 0.0 meV/atom

a = 6.9015 Å, b = 6.9015 Å, c = 6.9015 Å
α = 131.62°, β = 131.62°, γ = 70.82°
Last column: nearest neighbours and their distance in Å.
Fractional positions:
Cs1 0.0000 0.0000 0.0000  2 Pb 3.88, 8 Se 3.99
Pb1 0.3452 0.3452 0.0000  4 Se 3.02
Pb2 0.6548 0.6548 0.0000  4 Se 3.02
Se1 0.2500 0.7500 0.5000  4 Pb 3.02
Se2 0.7500 0.2500 0.5000  4 Pb 3.02



DFT (PBE-GGA) results for an optimized crystal structure of Cs2Pb3Se4.

Properties
Formation energy without anion corrections: -0.72 eV/atom
Density: 5.753 g/cm³
Calculated volume: 694.7 Å³/cell
Relative energy among the computed polymorphs: 0.0 meV/atom

a = 9.1604 Å, b = 9.1604 Å, c = 8.3149 Å
α = 93.74°, β = 93.74°, γ = 90.73°
Last column: nearest neighbours and their distance in Å.
Fractional positions:
Cs1 0.0418 0.2612 0.1261  5 Se 3.63-3.79
Cs2 0.2612 0.0418 0.6261  5 Se 3.63-3.79
Cs3 0.7388 0.9582 0.3739  5 Se 3.63-3.79
Cs4 0.9582 0.7388 0.8739  5 Se 3.63-3.79
Pb1 0.2512 0.4931 0.5814  3 Se 2.85-3.04
Pb2 0.2985 0.7015 0.2500  4 Se 2.84-3.12
Pb3 0.4931 0.2512 0.0814  3 Se 2.85-3.04
Pb4 0.5069 0.7488 0.9186  3 Se 2.85-3.04
Pb5 0.7015 0.2985 0.7500  4 Se 2.84-3.12
Pb6 0.7488 0.5069 0.4186  3 Se 2.85-3.04
Se1 0.0483 0.7121 0.4348  2 Pb 2.84-3.01
Se2 0.2753 0.5088 0.9258  3 Pb 2.85-3.12
Se3 0.2879 0.9517 0.0652  2 Pb 2.84-3.01
Se4 0.4912 0.7247 0.5742  3 Pb 2.85-3.12
Se5 0.5088 0.2753 0.4258  3 Pb 2.85-3.12
Se6 0.7121 0.0483 0.9348  2 Pb 2.84-3.01
Se7 0.7247 0.4912 0.0742  3 Pb 2.85-3.12
Se8 0.9517 0.2879 0.5652  2 Pb 2.84-3.01



DFT (PBE-GGA) results for an optimized crystal structure of CsPb2Se3.

Properties
Formation energy without anion corrections: -0.61 eV/atom
Density: 6.106 g/cm³
Calculated volume: 426.5 Å³/cell

a = 4.1300 Å, b = 12.7306 Å, c = 8.1127 Å
α = 90.00°, β = 90.00°, γ = 90.00°
Last column: nearest neighbours and their distance in Å.
Fractional positions:
Cs1 0.0000 0.1352 0.0000  7 Se 3.69-4.06, 2 Cs 4.13
Cs2 0.0000 0.8648 0.5000  7 Se 3.69-4.06, 2 Cs 4.13
Pb1 0.0000 0.2301 0.5005  5 Se 2.86-3.02
Pb2 0.0000 0.7699 0.0005  5 Se 2.86-3.02
Pb3 0.5000 0.4932 0.0241  4 Se 2.96-3.23
Pb4 0.5000 0.5068 0.5241  4 Se 2.96-3.23
Se1 0.0000 0.4021 0.7267  3 Pb 2.86-2.96
Se2 0.0000 0.5979 0.2267  3 Pb 2.86-2.96
Se3 0.5000 0.0948 0.6280  2 Pb 2.88
Se4 0.5000 0.3154 0.2633  4 Pb 2.98-3.23
Se5 0.5000 0.6846 0.7633  4 Pb 2.98-3.23
Se6 0.5000 0.9052 0.1280  2 Pb 2.88



DFT (PBE-GGA) results for an optimized crystal structure of CsPbSe3.

Properties
Formation energy without anion corrections: 0.74 eV/atom
Density: 5.033 g/cm³
Calculated volume: 190.4 Å³/cell

a = 5.7527 Å, b = 5.7527 Å, c = 5.7527 Å
α = 90.00°, β = 90.00°, γ = 90.00°
Last column: nearest neighbours and their distance in Å.
Fractional positions:
Cs1 0.0000 0.0000 0.0000  6 Se 2.88
Pb1 0.5000 0.5000 0.5000  12 Se 4.07
Se1 0.0000 0.0000 0.5000  2 Cs 2.88
Se2 0.0000 0.5000 0.0000  2 Cs 2.88
Se3 0.5000 0.0000 0.0000  2 Cs 2.88



DFT (PBE-GGA) results for an optimized crystal structure of CsPb3Se.

Properties
Formation energy without anion corrections: 0.03 eV/atom
Density: 6.694 g/cm³
Calculated volume: 206.8 Å³/cell
Relative energy among the computed polymorphs: 0.0 meV/atom

a = 5.9132 Å, b = 5.9132 Å, c = 5.9132 Å
α = 90.00°, β = 90.00°, γ = 90.00°
Last column: nearest neighbours and their distance in Å.
Fractional positions:
Cs1 0.0000 0.0000 0.0000  12 Pb 4.18
Pb1 0.0000 0.5000 0.5000  2 Se 2.96
Pb2 0.5000 0.0000 0.5000  2 Se 2.96
Pb3 0.5000 0.5000 0.0000  2 Se 2.96
Se1 0.5000 0.5000 0.5000  6 Pb 2.96



DFT (PBE-GGA) results for an optimized crystal structure of Cs3PbSe4.

Properties
Formation energy without anion corrections: -0.77 eV/atom
Density: 4.483 g/cm³
Calculated volume: 341.4 Å³/cell

a = 10.3318 Å, b = 10.3318 Å, c = 10.3318 Å
α = 148.63°, β = 143.32°, γ = 49.02°
Last column: nearest neighbours and their distance in Å.
Fractional positions:
Cs1 0.0000 0.0000 0.0000  8 Se 3.78
Cs2 0.3032 0.8032 0.5000  6 Se 3.73-3.74
Cs3 0.6968 0.1968 0.5000  6 Se 3.73-3.74
Pb1 0.5000 0.5000 0.0000  4 Se 2.96
Se1 0.0791 0.3831 0.6960  1 Se 2.55
Se2 0.3129 0.6169 0.6960  1 Se 2.55
Se3 0.6871 0.3831 0.3040  1 Se 2.55
Se4 0.9209 0.6169 0.3040  1 Se 2.55



DFT (PBE-GGA) results for an optimized crystal structure of CsPb2Se2.

Properties
Formation energy without anion corrections: -0.50 eV/atom
Density: 5.680 g/cm³
Calculated volume: 206.2 Å³/cell
Relative energy among the computed polymorphs: 115.4 meV/atom

a = 8.0672 Å, b = 8.0672 Å, c = 8.0672 Å
α = 141.02°, β = 141.02°, γ = 56.32°
Last column: nearest neighbours and their distance in Å.
Fractional positions:
Cs1 0.0000 0.0000 0.0000  8 Se 4.37, 8 Pb 4.46
Pb1 0.2500 0.7500 0.5000  4 Se 3.04
Pb2 0.7500 0.2500 0.5000  4 Se 3.04
Se1 0.3498 0.3498 0.0000  4 Pb 3.04
Se2 0.6502 0.6502 0.0000  4 Pb 3.04